PmCdWO6: relaxed, PBE with a Hubbard U.

Values from the calculation:
For the total energy, the calculation gives -6.671 eV/atom. The space-group type is P312 (149).

Lattice parameters (Å, degrees): 5.7175 5.7175 4.6541 90.00 90.00 120.00
Last column: nearest neighbours and their distance in Å.
Sites, in units of the cell vectors:
Pm 0.0000 0.0000 0.0000  6 O 2.34
Cd 0.6667 0.3333 0.5000  6 O 2.38
W 0.3333 0.6667 0.0000  6 O 1.96
O 0.0433 0.3835 0.2297  1 W 1.96
O 0.0433 0.6598 0.7703  1 W 1.96
O 0.3402 0.3835 0.7703  1 W 1.96
O 0.3402 0.9567 0.2297  1 W 1.96
O 0.6165 0.6598 0.2297  1 W 1.96
O 0.6165 0.9567 0.7703  1 W 1.96